# KFeBiO4 PBE with a Hubbard U relaxed
data_KFeBiO4
_space_group_name_H-M_alt 'P 1 21/m 1'
_space_group_IT_number 11
_cell_length_a 5.983
_cell_length_b 6.065
_cell_length_c 7.601
_cell_angle_alpha 90.00
_cell_angle_beta 112.88
_cell_angle_gamma 90.00
loop_
_space_group_symop_operation_xyz
'x,y,z'
'-x,-y,-z'
'-x,y+1/2,-z'
'x,-y+1/2,z'
loop_
_atom_site_label
_atom_site_fract_x
_atom_site_fract_y
_atom_site_fract_z
_atom_site_occupancy
K1 0.221 0.250 0.059 1
Fe1 0.425 0.250 0.666 1
Bi1 0.162 0.750 0.468 1
O1 0.205 0.025 0.679 1
O2 0.238 0.750 0.196 1
O3 0.438 0.250 0.426 1
# Fermi-level density of states	2.184	states/eV/cell
# ρ	4.81	Mg/m³
# calculated total energy	-5.583	eV per atom
# magnetic moment	4.1	μB/f.u.